DFT (GGA+U) results for a relaxed structure of CdFeReF2.

spin magnetization: 4.8 Bohr magnetons per cell
raw total energy: -4.56 eV per atom
symmetry: P4/mmm, No. 123

```
5
Lattice="4.040 0.000 0.000 0.000 4.040 0.000 0.000 0.000 5.668" Properties=species:S:1:pos:R:3 pbc="T T T"
Cd 0.000 0.000 0.000
Fe 2.020 2.020 0.000
Re 0.000 0.000 2.834
F 0.000 2.020 2.834
F 2.020 0.000 2.834
```